a) # SrLaCd, relaxed, DFT PBE
# Total moment: 0.40 Bohr magnetons per cell
# D(E_F): 8.8 states/eV/cell
data_SrLaCd
_chemical_formula_sum 'Sr2 La2 Cd2'
_cell_length_a 5.519
_cell_length_b 5.519
_cell_length_c 7.954
_cell_angle_alpha 90.00
_cell_angle_beta 90.00
_cell_angle_gamma 90.00
_symmetry_space_group_name_H-M 'P 4/n m m'
_symmetry_Int_Tables_number 129
loop_
_symmetry_equiv_pos_as_xyz
'x,y,z'
'-x,-y,-z'
'-y+1/2,x,z'
'y+1/2,-x,-z'
'-x+1/2,-y+1/2,z'
'x+1/2,y+1/2,-z'
'y,-x+1/2,z'
'-y,x+1/2,-z'
'x+1/2,-y,-z'
'-x+1/2,y,z'
'-y,-x,-z'
'y,x,z'
'-x,y+1/2,-z'
'x,-y+1/2,z'
'y+1/2,x+1/2,-z'
'-y+1/2,-x+1/2,z'
loop_
_atom_site_label
_atom_site_fract_x
_atom_site_fract_y
_atom_site_fract_z
Sr1 0.250 0.750 0.000
La1 0.250 0.750 0.500
Cd1 0.250 0.250 0.268

b) # SrLaCd, relaxed, DFT PBE
# Total moment: 0.29 Bohr magnetons per cell
# D(E_F): 5.2 states/eV/cell
data_SrLaCd
_chemical_formula_sum 'Sr2 La2 Cd2'
_cell_length_a 3.955
_cell_length_b 3.955
_cell_length_c 14.153
_cell_angle_alpha 90.00
_cell_angle_beta 90.00
_cell_angle_gamma 90.00
_symmetry_space_group_name_H-M 'I 4 m m'
_symmetry_Int_Tables_number 107
_symmetry_space_group_name_Hall 'I 4 -2'
loop_
_atom_site_label
_atom_site_fract_x
_atom_site_fract_y
_atom_site_fract_z
Sr1 0.000 0.000 0.000
La1 0.000 0.000 0.721
Cd1 0.000 0.000 0.350

c) # SrLaCd, relaxed, DFT PBE
# Total moment: 0.01 Bohr magnetons per cell
# D(E_F): 16.8 states/eV/cell
data_SrLaCd
_chemical_formula_sum 'Sr4 La4 Cd4'
_cell_length_a 7.825
_cell_length_b 7.825
_cell_length_c 7.825
_cell_angle_alpha 90.00
_cell_angle_beta 90.00
_cell_angle_gamma 90.00
_symmetry_space_group_name_H-M 'F -4 3 m'
_symmetry_Int_Tables_number 216
_symmetry_space_group_name_Hall 'F -4 2 3'
loop_
_atom_site_label
_atom_site_fract_x
_atom_site_fract_y
_atom_site_fract_z
Sr1 0.000 0.000 0.000
La1 0.000 0.000 0.500
Cd1 0.250 0.250 0.750

b) has the most favorable energy; the next structure is 152 meV per atom above.

a) # LaTaCd2, relaxed, DFT PBE
# Total moment: 0.00 Bohr magnetons per cell
# D(E_F): 8.5 states/eV/cell
data_LaTaCd2
_chemical_formula_sum 'La2 Ta2 Cd4'
_cell_length_a 4.505
_cell_length_b 4.505
_cell_length_c 9.272
_cell_angle_alpha 90.00
_cell_angle_beta 90.00
_cell_angle_gamma 90.00
_symmetry_space_group_name_H-M 'I 4/m m m'
_symmetry_Int_Tables_number 139
_symmetry_space_group_name_Hall '-I 4 2'
loop_
_atom_site_label
_atom_site_fract_x
_atom_site_fract_y
_atom_site_fract_z
La1 0.000 0.000 0.000
Ta1 0.000 0.000 0.500
Cd1 0.000 0.500 0.250

b) # LaTaCd2, relaxed, DFT PBE
# Total moment: 0.17 Bohr magnetons per cell
# D(E_F): 3.1 states/eV/cell
data_LaTaCd2
_chemical_formula_sum 'La1 Ta1 Cd2'
_cell_length_a 5.545
_cell_length_b 5.545
_cell_length_c 3.070
_cell_angle_alpha 90.00
_cell_angle_beta 90.00
_cell_angle_gamma 90.00
_symmetry_space_group_name_H-M 'P 4/m m m'
_symmetry_Int_Tables_number 123
_symmetry_space_group_name_Hall '-P 4 2'
loop_
_atom_site_label
_atom_site_fract_x
_atom_site_fract_y
_atom_site_fract_z
La1 0.000 0.000 0.000
Ta1 0.500 0.500 0.000
Cd1 0.000 0.500 0.500

a) has the most favorable energy; the next structure is 61 meV per atom above.

a) # LaTaCd2, relaxed, DFT PBE
# Total moment: 1.53 Bohr magnetons per cell
# D(E_F): 13.5 states/eV/cell
data_LaTaCd2
_chemical_formula_sum 'La3 Ta3 Cd6'
_cell_length_a 3.1074
_cell_length_b 3.1074
_cell_length_c 33.1695
_cell_angle_alpha 90.00
_cell_angle_beta 90.00
_cell_angle_gamma 120.00
_symmetry_space_group_name_H-M 'R -3 m'
_symmetry_Int_Tables_number 166
_symmetry_space_group_name_Hall '-R 3 2"'
loop_
_atom_site_label
_atom_site_fract_x
_atom_site_fract_y
_atom_site_fract_z
La1 0.0000 0.0000 0.0000
Ta1 0.0000 0.0000 0.5000
Cd1 0.0000 0.0000 0.2426

b) # LaTaCd2, relaxed, DFT PBE
# Total moment: 0.00 Bohr magnetons per cell
# D(E_F): 7.8 states/eV/cell
data_LaTaCd2
_chemical_formula_sum 'La2 Ta2 Cd4'
_cell_length_a 11.301
_cell_length_b 3.142
_cell_length_c 5.666
_cell_angle_alpha 90.00
_cell_angle_beta 110.09
_cell_angle_gamma 90.00
_symmetry_space_group_name_H-M 'C 1 m 1'
_symmetry_Int_Tables_number 8
loop_
_symmetry_equiv_pos_as_xyz
'x,y,z'
'x,-y,z'
'x+1/2,y+1/2,z'
'x+1/2,-y+1/2,z'
loop_
_atom_site_label
_atom_site_fract_x
_atom_site_fract_y
_atom_site_fract_z
La1 0.000 0.000 0.000
Ta1 0.247 0.000 0.861
Cd1 0.032 0.500 0.520
Cd2 0.280 0.500 0.373

c) # LaTaCd2, relaxed, DFT PBE
# Total moment: 0.00 Bohr magnetons per cell
# D(E_F): 6.1 states/eV/cell
data_LaTaCd2
_chemical_formula_sum 'La2 Ta2 Cd4'
_cell_length_a 11.317
_cell_length_b 3.152
_cell_length_c 5.401
_cell_angle_alpha 90.00
_cell_angle_beta 102.26
_cell_angle_gamma 90.00
_symmetry_space_group_name_H-M 'C 1 2/m 1'
_symmetry_Int_Tables_number 12
loop_
_symmetry_equiv_pos_as_xyz
'x,y,z'
'-x,-y,-z'
'-x,y,-z'
'x,-y,z'
'x+1/2,y+1/2,z'
'-x+1/2,-y+1/2,-z'
'-x+1/2,y+1/2,-z'
'x+1/2,-y+1/2,z'
loop_
_atom_site_label
_atom_site_fract_x
_atom_site_fract_y
_atom_site_fract_z
La1 0.000 0.000 0.000
Ta1 0.000 0.500 0.500
Cd1 0.233 0.000 0.724

c) has the most favorable energy; the next structure is 6 meV per atom above.

a) # LaTaCd, relaxed, DFT PBE
# Total moment: 0.00 Bohr magnetons per cell
# D(E_F): 4.9 states/eV/cell
data_LaTaCd
_chemical_formula_sum 'La2 Ta2 Cd2'
_cell_length_a 3.079
_cell_length_b 3.079
_cell_length_c 15.000
_cell_angle_alpha 90.00
_cell_angle_beta 90.00
_cell_angle_gamma 90.00
_symmetry_space_group_name_H-M 'I 4 m m'
_symmetry_Int_Tables_number 107
_symmetry_space_group_name_Hall 'I 4 -2'
loop_
_atom_site_label
_atom_site_fract_x
_atom_site_fract_y
_atom_site_fract_z
La1 0.000 0.000 0.000
Ta1 0.000 0.000 0.667
Cd1 0.000 0.000 0.313

b) # LaTaCd, relaxed, DFT PBE
# Total moment: 8.47 Bohr magnetons per cell
# D(E_F): 13.6 states/eV/cell
data_LaTaCd
_chemical_formula_sum 'La4 Ta4 Cd4'
_cell_length_a 6.977
_cell_length_b 6.977
_cell_length_c 6.977
_cell_angle_alpha 90.00
_cell_angle_beta 90.00
_cell_angle_gamma 90.00
_symmetry_space_group_name_H-M 'F -4 3 m'
_symmetry_Int_Tables_number 216
_symmetry_space_group_name_Hall 'F -4 2 3'
loop_
_atom_site_label
_atom_site_fract_x
_atom_site_fract_y
_atom_site_fract_z
La1 0.000 0.000 0.000
Ta1 0.250 0.250 0.750
Cd1 0.000 0.000 0.500

a) has the most favorable energy; the next structure is 628 meV per atom above.

a) # LaTaCd3, relaxed, DFT PBE
# Total moment: 0.00 Bohr magnetons per cell
# D(E_F): 10.7 states/eV/cell
data_LaTaCd3
_chemical_formula_sum 'La1 Ta1 Cd3'
_cell_length_a 5.654
_cell_length_b 5.654
_cell_length_c 5.654
_cell_angle_alpha 90.00
_cell_angle_beta 90.00
_cell_angle_gamma 90.00
_symmetry_space_group_name_H-M 'P m -3 m'
_symmetry_Int_Tables_number 221
_symmetry_space_group_name_Hall '-P 4 2 3'
loop_
_atom_site_label
_atom_site_fract_x
_atom_site_fract_y
_atom_site_fract_z
La1 0.000 0.000 0.000
Ta1 0.500 0.500 0.500
Cd1 0.000 0.000 0.500

b) # LaTaCd3, relaxed, DFT PBE
# Total moment: 1.50 Bohr magnetons per cell
# D(E_F): 5.2 states/eV/cell
data_LaTaCd3
_chemical_formula_sum 'La1 Ta1 Cd3'
_cell_length_a 5.323
_cell_length_b 5.323
_cell_length_c 5.323
_cell_angle_alpha 90.00
_cell_angle_beta 90.00
_cell_angle_gamma 90.00
_symmetry_space_group_name_H-M 'P m -3 m'
_symmetry_Int_Tables_number 221
_symmetry_space_group_name_Hall '-P 4 2 3'
loop_
_atom_site_label
_atom_site_fract_x
_atom_site_fract_y
_atom_site_fract_z
La1 0.000 0.000 0.000
Ta1 0.500 0.500 0.500
Cd1 0.000 0.500 0.500

b) has the most favorable energy; the next structure is 1338 meV per atom above.

a) # LaTb4Cd, relaxed, DFT PBE
# Total moment: 0.00 Bohr magnetons per cell
# D(E_F): 30.9 states/eV/cell
data_LaTb4Cd
_chemical_formula_sum 'La4 Tb16 Cd4'
_cell_length_a 5.454
_cell_length_b 12.353
_cell_length_c 11.120
_cell_angle_alpha 90.00
_cell_angle_beta 90.00
_cell_angle_gamma 90.00
_symmetry_space_group_name_H-M 'C m c 21'
_symmetry_Int_Tables_number 36
loop_
_symmetry_equiv_pos_as_xyz
'x,y,z'
'-x,-y,z+1/2'
'-x,y,z'
'x,-y,z+1/2'
'x+1/2,y+1/2,z'
'-x+1/2,-y+1/2,z+1/2'
'-x+1/2,y+1/2,z'
'x+1/2,-y+1/2,z+1/2'
loop_
_atom_site_label
_atom_site_fract_x
_atom_site_fract_y
_atom_site_fract_z
La1 0.000 0.181 0.000
Tb1 0.000 0.024 0.713
Tb2 0.000 0.174 0.431
Tb3 0.000 0.320 0.716
Tb4 0.000 0.493 0.976
Cd1 0.000 0.354 0.230

b) # LaTb4Cd, relaxed, DFT PBE
# Total moment: 0.00 Bohr magnetons per cell
# D(E_F): 8.3 states/eV/cell
data_LaTb4Cd
_chemical_formula_sum 'La1 Tb4 Cd1'
_cell_length_a 3.635
_cell_length_b 3.635
_cell_length_c 14.117
_cell_angle_alpha 90.00
_cell_angle_beta 90.00
_cell_angle_gamma 90.00
_symmetry_space_group_name_H-M 'P 4/m m m'
_symmetry_Int_Tables_number 123
_symmetry_space_group_name_Hall '-P 4 2'
loop_
_atom_site_label
_atom_site_fract_x
_atom_site_fract_y
_atom_site_fract_z
La1 0.000 0.000 0.000
Tb1 0.000 0.000 0.357
Tb2 0.500 0.500 0.183
Cd1 0.500 0.500 0.500

b) has the most favorable energy; the next structure is 33 meV per atom above.